Here is a relaxed AcMg2Au crystal from Alexandria. Energies are from PBE.

E_tot, eV/f.u.: -11.84
DFT formation energy, eV per atom: -0.317

Lattice parameters (Å, degrees): 4.6226 4.6226 17.8205 90.00 90.00 120.00
Space group R-3m (No. 166, hexagonal axes)
Symmetry-distinct sites (fractional):
Ac 0.0000 0.0000 0.0000 (multiplicity 3)
Mg 0.0000 0.0000 0.2061 (multiplicity 6)
Au 0.0000 0.0000 0.5000 (multiplicity 3)

***

Here is a relaxed Y2CoP3Rh4 crystal from Alexandria. Energies are from PBE.

E_tot, eV/f.u.: -75.23
DFT formation energy, eV per atom: -0.956

Lattice parameters (Å, degrees): 4.0472 4.0472 9.8046 90.00 90.00 90.00
Space group P-4m2 (No. 115)
Symmetry-distinct sites (fractional):
Y 0.0000 0.5000 0.2457 (multiplicity 2)
Co 0.5000 0.5000 0.0000 (multiplicity 1)
P 0.0000 0.0000 0.0000 (multiplicity 1)
P 0.0000 0.5000 0.6383 (multiplicity 2)
Rh 0.0000 0.0000 0.5000 (multiplicity 1)
Rh 0.0000 0.5000 0.8713 (multiplicity 2)
Rh 0.5000 0.5000 0.5000 (multiplicity 1)

***

Here is a relaxed Dy4CdGa2Rh crystal from Alexandria. Energies are from PBE.

E_tot, eV/f.u.: -37.44
DFT formation energy, eV per atom: -0.589

Lattice parameters (Å, degrees): 5.0741 5.0741 24.7086 90.00 90.00 120.00
Space group R-3m (No. 166, hexagonal axes)
Symmetry-distinct sites (fractional):
Dy 0.0000 0.0000 0.1168 (multiplicity 6)
Dy 0.0000 0.0000 0.3690 (multiplicity 6)
Cd 0.0000 0.0000 0.5000 (multiplicity 3)
Ga 0.0000 0.0000 0.2440 (multiplicity 6)
Rh 0.0000 0.0000 0.0000 (multiplicity 3)

***

Number 1: Fermi-level density of states 12.0 states/eV per cell. Number 2: Fermi-level density of states 5.5 states/eV per cell. Number 3: Fermi-level density of states 10.9 states/eV per cell.